First-principles (PBE) data for crystalline SrCdH3 at its relaxed geometry, as listed in Alexandria.

The calculation puts the density of states at the Fermi level at 0.410 states/eV per atom. The calculation puts the total DFT energy (no corrections) at -12.85 eV per cell.

Lattice parameters (Å, degrees): 4.1376 4.1376 4.1376 90.00 90.00 90.00
With the nearest neighbours (Å) after each atom.
Fractional positions:
Sr: 0.0000 0.0000 0.0000  12 H 2.93
Cd: 0.5000 0.5000 0.5000  6 H 2.07
H: 0.0000 0.5000 0.5000  2 Cd 2.07
H: 0.5000 0.0000 0.5000  2 Cd 2.07
H: 0.5000 0.5000 0.0000  2 Cd 2.07